An optimized crystal structure of TbPaCuO6. Source: Alexandria, functional PBE-GGA.

```
TbPaCuO6
1.0
4.8893 0.0000 0.0000
0.0000 5.3192 0.0000
0.0000 -2.6596 4.6065
Tb Pa Cu O
1 1 1 6
Direct
0.5000 0.6667 0.3333
0.0000 0.3333 0.6667
0.5000 0.0000 0.0000
0.7386 0.6806 0.7049
0.7386 0.2951 0.9756
0.7386 0.0244 0.3194
0.2614 0.2951 0.3194
0.2614 0.6806 0.9756
0.2614 0.0244 0.7049
```

Properties
E_form (uncorrected) ... -2.30 eV/atom
DOS(E_F) ... 0.44 states/eV/atom
VASP energy ... -68.6 eV for the cell shown